[1]
The following is a DFT calculation (PBE-GGA) of crystalline NiIr8 at its relaxed geometry.

Cell lengths 6.0811, 6.0811, 6.0811 Å; angles 95.75, 95.75, 143.09 degrees
With the nearest neighbours (Å) after each atom.
Positions (direct):
Ni: 0.0000 0.0000 0.0000  12 Ir 2.72-2.73
Ir: 0.0000 0.3332 0.3332  11 Ir 2.71-2.72, 1 Ni 2.72
Ir: 0.0000 0.6668 0.6668  11 Ir 2.71-2.72, 1 Ni 2.72
Ir: 0.3332 0.0000 0.3332  11 Ir 2.71-2.72, 1 Ni 2.72
Ir: 0.3328 0.3328 0.6656  10 Ir 2.71-2.73, 2 Ni 2.73
Ir: 0.3328 0.6672 0.0000  10 Ir 2.71-2.73, 2 Ni 2.73
Ir: 0.6668 0.0000 0.6668  11 Ir 2.71-2.72, 1 Ni 2.72
Ir: 0.6672 0.3328 0.0000  10 Ir 2.71-2.73, 2 Ni 2.73
Ir: 0.6672 0.6672 0.3345  10 Ir 2.71-2.73, 2 Ni 2.73

[2]
The following is a DFT calculation (PBE-GGA) of crystalline KLi2As at its relaxed geometry.

Cell lengths 6.8477, 6.8477, 6.8477 Å; angles 90.00, 90.00, 90.00 degrees
With the nearest neighbours (Å) after each atom.
Positions (direct):
K: 0.0000 0.0000 0.0000  8 Li 2.97
K: 0.0000 0.5000 0.5000  8 Li 2.97
K: 0.5000 0.0000 0.5000  8 Li 2.97
K: 0.5000 0.5000 0.0000  8 Li 2.97
Li: 0.2500 0.2500 0.2500  4 As 2.97, 4 K 2.97
Li: 0.2500 0.2500 0.7500  4 As 2.97, 4 K 2.97
Li: 0.2500 0.7500 0.2500  4 As 2.97, 4 K 2.97
Li: 0.2500 0.7500 0.7500  4 As 2.97, 4 K 2.97
Li: 0.7500 0.2500 0.2500  4 As 2.97, 4 K 2.97
Li: 0.7500 0.2500 0.7500  4 As 2.97, 4 K 2.97
Li: 0.7500 0.7500 0.2500  4 As 2.97, 4 K 2.97
Li: 0.7500 0.7500 0.7500  4 As 2.97, 4 K 2.97
As: 0.0000 0.0000 0.5000  8 Li 2.97
As: 0.0000 0.5000 0.0000  8 Li 2.97
As: 0.5000 0.0000 0.0000  8 Li 2.97
As: 0.5000 0.5000 0.5000  8 Li 2.97

[3]
The following is a DFT calculation (PBE-GGA) of crystalline AcErTm2 at its relaxed geometry.

Cell lengths 8.1518, 8.1518, 8.1518 Å; angles 90.00, 90.00, 90.00 degrees
With the nearest neighbours (Å) after each atom.
Positions (direct):
Ac: 0.0000 0.0000 0.0000  8 Tm 3.53
Ac: 0.0000 0.5000 0.5000  8 Tm 3.53
Ac: 0.5000 0.0000 0.5000  8 Tm 3.53
Ac: 0.5000 0.5000 0.0000  8 Tm 3.53
Er: 0.0000 0.0000 0.5000  8 Tm 3.53
Er: 0.0000 0.5000 0.0000  8 Tm 3.53
Er: 0.5000 0.0000 0.0000  8 Tm 3.53
Er: 0.5000 0.5000 0.5000  8 Tm 3.53
Tm: 0.2500 0.2500 0.2500  4 Ac 3.53, 4 Er 3.53
Tm: 0.2500 0.2500 0.7500  4 Ac 3.53, 4 Er 3.53
Tm: 0.2500 0.7500 0.2500  4 Ac 3.53, 4 Er 3.53
Tm: 0.2500 0.7500 0.7500  4 Ac 3.53, 4 Er 3.53
Tm: 0.7500 0.2500 0.2500  4 Ac 3.53, 4 Er 3.53
Tm: 0.7500 0.2500 0.7500  4 Ac 3.53, 4 Er 3.53
Tm: 0.7500 0.7500 0.2500  4 Ac 3.53, 4 Er 3.53
Tm: 0.7500 0.7500 0.7500  4 Ac 3.53, 4 Er 3.53

Values from the calculation:
energy relative to the lowest polymorph listed for this composition: 4.6 kJ per mole of atoms

Number 1: final energy -8.499 eV per atom, formation energy from the elements 0.175 eV per formula unit, M_tot 0.000 μB per atom. Number 2: final energy -2.852 eV per atom, formation energy from the elements -1.835 eV per formula unit, M_tot 0.000 μB per atom. Number 3: final energy -4.279 eV per atom, formation energy from the elements 0.497 eV per formula unit, M_tot 0.000 μB per atom.